{"formula": "HoAgPdPt", "functional": "PBE", "state": "optimized geometry", "formation_energy_ev_per_atom": -0.699, "space_group": "No. 216", "energy_ev_per_atom": -5.3652, "volume_a3_per_atom": 18.68, "density_g_cm3": 12.8, "relative_energy_mev_per_atom": 83, "lattice": [[-0.940, 1.692, 4.313], [1.119, -2.536, 3.830], [3.533, 1.399, 2.812]], "species": ["Ho", "Ag", "Pd", "Pt"], "fractional_positions": [[0.000, 0.000, 0.000], [0.500, 0.500, 0.500], [0.750, 0.750, 0.750], [0.250, 0.250, 0.250]]}